This record from Alexandria via LeMat-Bulk describes a relaxed structure of Cs2NaVTe4. The functional is PBE.

Cell: 15.5017 14.0067 8.3028 Å, 83.87 63.95 32.18°
With the nearest neighbours (Å) after each atom.
Atoms (fractional coordinates):
Cs  0.0561  0.0561  0.6939  6 Te 3.90-4.28
Cs  0.3061  0.3061  0.9439  6 Te 3.90-4.28
Cs  0.6939  0.6939  0.0561  6 Te 3.90-4.28
Cs  0.9439  0.9439  0.3061  6 Te 3.90-4.28
Na  0.1250  0.1250  0.1250  4 Te 3.00
Na  0.8750  0.8750  0.8750  4 Te 3.00
V  0.3750  0.3750  0.3750  4 Te 2.53
V  0.6250  0.6250  0.6250  4 Te 2.53
Te  0.0233  0.6156  0.5293  1 V 2.53
Te  0.3319  0.5293  0.6156  1 V 2.53
Te  0.3844  0.9767  0.6681  1 V 2.53
Te  0.4707  0.6681  0.9767  1 V 2.53
Te  0.5293  0.3319  0.0233  1 V 2.53
Te  0.6156  0.0233  0.3319  1 V 2.53
Te  0.6681  0.4707  0.3844  1 V 2.53
Te  0.9767  0.3844  0.4707  1 V 2.53

=====

This record from Alexandria via LeMat-Bulk describes a relaxed structure of CsNaVTe3. The functional is PBE.

Cell: 8.4964 8.4964 7.6402 Å, 90.00 90.00 122.64°
With the nearest neighbours (Å) after each atom.
Atoms (fractional coordinates):
Cs  0.2268  0.7732  0.7500  8 Te 3.82-4.25, 1 V 4.25
Cs  0.7732  0.2268  0.2500  8 Te 3.82-4.25, 1 V 4.25
Na  0.4338  0.5662  0.2500  5 Te 3.10-3.18
Na  0.5662  0.4338  0.7500  5 Te 3.10-3.18
V  0.0582  0.9418  0.2500  5 Te 2.50-2.72
V  0.9418  0.0582  0.7500  5 Te 2.50-2.72
Te  0.2128  0.2128  0.0000  2 V 2.72
Te  0.2128  0.2128  0.5000  2 V 2.72
Te  0.2260  0.7740  0.2500  1 V 2.50
Te  0.7740  0.2260  0.7500  1 V 2.50
Te  0.7872  0.7872  0.0000  2 V 2.72
Te  0.7872  0.7872  0.5000  2 V 2.72

=====

This record from Alexandria via LeMat-Bulk describes a relaxed structure of CsNaYTe2. The functional is PBE.

Cell: 9.0509 9.0509 7.5703 Å, 90.00 90.00 135.08°
With the nearest neighbours (Å) after each atom.
Atoms (fractional coordinates):
Cs  0.2500  0.7500  0.7571  6 Te 4.09-4.13
Cs  0.7500  0.2500  0.2429  6 Te 4.09-4.13
Na  0.0000  0.0000  0.5000  2 Te 2.94
Na  0.5000  0.5000  0.5000  2 Te 2.94
Y  0.2500  0.2500  0.0000  4 Te 3.04
Y  0.7500  0.7500  0.0000  4 Te 3.04
Te  0.1158  0.8842  0.2081  1 Na 2.94, 2 Y 3.04
Te  0.3842  0.6158  0.2081  1 Na 2.94, 2 Y 3.04
Te  0.6158  0.3842  0.7919  1 Na 2.94, 2 Y 3.04
Te  0.8842  0.1158  0.7919  1 Na 2.94, 2 Y 3.04

=====

These records have ρ values of 3.93, 4.22, 3.79 g cm⁻³, in the order they appear.
These records have formation energy (no corrections) values of -68, -63, -91 kJ/mol of atoms, in the order they appear.